Material: Tm2LuPd
Method: DFT, GGA-PBE
State: relaxed

Unit cell a=3.5202 b=3.5202 c=8.2006 alpha=90.00 beta=90.00 gamma=90.00
Atoms (fractional coordinates):
1 Tm 0.0000 0.0000 0.2026
2 Tm 0.0000 0.0000 0.7974
3 Lu 0.5000 0.5000 0.5000
4 Pd 0.5000 0.5000 0.0000

Its calculated formation energy is -0.4310 eV/atom. As for the density: 10.1 g/cm³.


Material: Lu2VPd
Method: DFT, GGA-PBE
State: relaxed

Unit cell a=3.5031 b=3.5031 c=6.7661 alpha=90.00 beta=90.00 gamma=90.00
Atoms (fractional coordinates):
1 Lu 0.0000 0.0000 0.2471
2 Lu 0.0000 0.0000 0.7529
3 V 0.5000 0.5000 0.5000
4 Pd 0.5000 0.5000 0.0000

Its calculated formation energy is -0.3194 eV/atom. As for the density: 10.1 g/cm³.


Material: Y2LuPd
Method: DFT, GGA-PBE
State: relaxed

Unit cell a=3.5739 b=3.5739 c=8.3054 alpha=90.00 beta=90.00 gamma=90.00
Atoms (fractional coordinates):
1 Y 0.0000 0.0000 0.2041
2 Y 0.0000 0.0000 0.7959
3 Lu 0.5000 0.5000 0.5000
4 Pd 0.5000 0.5000 0.0000

Its calculated formation energy is -0.3901 eV/atom. As for the density: 7.2 g/cm³.


Material: YLuPd4
Method: DFT, GGA-PBE
State: relaxed

Unit cell a=5.4251 b=5.4251 c=5.4251 alpha=60.00 beta=60.00 gamma=60.00
Atoms (fractional coordinates):
1 Y 0.0000 0.0000 0.0000
2 Lu 0.2500 0.2500 0.2500
3 Pd 0.1258 0.6247 0.6247
4 Pd 0.6247 0.1258 0.6247
5 Pd 0.6247 0.6247 0.1258
6 Pd 0.6247 0.6247 0.6247

Its calculated formation energy is -0.8109 eV/atom. As for the density: 10.1 g/cm³.


Material: YLuZnPd
Method: DFT, GGA-PBE
State: relaxed

Unit cell a=4.9612 b=4.9612 c=4.9612 alpha=60.00 beta=60.00 gamma=60.00
Atoms (fractional coordinates):
1 Y 0.0000 0.0000 0.0000
2 Lu 0.5000 0.5000 0.5000
3 Zn 0.7500 0.7500 0.7500
4 Pd 0.2500 0.2500 0.2500

Its calculated formation energy is -0.6244 eV/atom. As for the density: 8.4 g/cm³.


Material: YbLuPd2
Method: DFT, GGA-PBE
State: relaxed

Unit cell a=4.8940 b=4.8940 c=4.8940 alpha=60.00 beta=60.00 gamma=60.00
Atoms (fractional coordinates):
1 Yb 0.0000 0.0000 0.0000
2 Lu 0.5000 0.5000 0.5000
3 Pd 0.2500 0.2500 0.2500
4 Pd 0.7500 0.7500 0.7500

Its calculated formation energy is -0.8664 eV/atom. As for the density: 11.2 g/cm³.


Material: Lu2ZnPd
Method: DFT, GGA-PBE
State: relaxed

Unit cell a=3.4742 b=3.4742 c=6.8622 alpha=90.00 beta=90.00 gamma=90.00
Atoms (fractional coordinates):
1 Lu 0.0000 0.0000 0.2458
2 Lu 0.0000 0.0000 0.7542
3 Zn 0.5000 0.5000 0.5000
4 Pd 0.5000 0.5000 0.0000

Its calculated formation energy is -0.6739 eV/atom. As for the density: 10.5 g/cm³.


Material: Lu2ZnPd
Method: DFT, GGA-PBE
State: relaxed

Unit cell a=9.3205 b=9.3205 c=9.3205 alpha=24.48 beta=24.48 gamma=24.48
Atoms (fractional coordinates):
1 Lu 0.1113 0.1113 0.1113
2 Lu 0.8887 0.8887 0.8887
3 Zn 0.0000 0.0000 0.0000
4 Pd 0.5000 0.5000 0.5000

Its calculated formation energy is -0.1135 eV/atom. As for the density: 7.1 g/cm³.